{"formula": "Ta2SiRh", "functional": "PBE-GGA", "state": "relaxed", "magnetic_moment_mub_per_fu": 0.0, "formation_energy_uncorrected_ev_per_atom": -0.426, "dos_at_fermi_per_ev_atom": 0.4663, "vol_a3_per_cell": 63, "lattice": [[2.001, -2.048, 0.000], [2.001, 2.048, 0.000], [0.000, 0.000, 7.649]], "species": ["Ta", "Ta", "Si", "Rh"], "frac_coords": [[0.000, 0.000, 0.000], [0.500, 0.500, 0.307], [0.500, 0.500, 0.758], [0.000, 0.000, 0.576]]}



{"formula": "TaSiRh2", "functional": "PBE-GGA", "state": "relaxed", "magnetic_moment_mub_per_fu": 0.0, "formation_energy_uncorrected_ev_per_atom": -0.521, "dos_at_fermi_per_ev_atom": 0.6771, "vol_a3_per_cell": 59, "lattice": [[2.838, 0.000, 0.000], [0.000, 3.736, 0.000], [0.000, 0.000, 5.555]], "species": ["Ta", "Si", "Rh", "Rh"], "frac_coords": [[0.000, 0.000, 0.000], [0.000, 0.000, 0.500], [0.500, 0.500, 0.258], [0.500, 0.500, 0.742]]}



{"formula": "TaSiRh2", "functional": "PBE-GGA", "state": "relaxed", "magnetic_moment_mub_per_fu": 0.0, "formation_energy_uncorrected_ev_per_atom": -0.528, "dos_at_fermi_per_ev_atom": 0.5385, "vol_a3_per_cell": 59, "lattice": [[2.842, 0.000, 0.000], [0.000, 3.820, 0.000], [-1.048, 0.000, 5.457]], "species": ["Ta", "Si", "Rh", "Rh"], "frac_coords": [[0.000, 0.000, 0.000], [0.000, 0.000, 0.500], [0.412, 0.500, 0.738], [0.588, 0.500, 0.262]]}



{"formula": "Ta2SiRh", "functional": "PBE-GGA", "state": "relaxed", "magnetic_moment_mub_per_fu": 0.0, "formation_energy_uncorrected_ev_per_atom": -0.349, "dos_at_fermi_per_ev_atom": 0.8859, "vol_a3_per_cell": 63, "lattice": [[-1.613, 2.194, 4.470], [1.613, -2.194, 4.470], [1.613, 2.194, -4.470]], "species": ["Ta", "Ta", "Si", "Rh"], "frac_coords": [[0.000, 0.000, 0.000], [0.732, 0.232, 0.500], [0.257, 0.757, 0.500], [0.471, 0.471, 0.000]]}



{"formula": "TaSi2Rh", "functional": "PBE-GGA", "state": "relaxed", "magnetic_moment_mub_per_fu": 0.0, "formation_energy_uncorrected_ev_per_atom": -0.471, "dos_at_fermi_per_ev_atom": 0.3112, "vol_a3_per_cell": 58, "lattice": [[2.924, 0.000, 0.000], [0.000, 3.453, 0.000], [0.000, 0.000, 5.755]], "species": ["Ta", "Si", "Si", "Rh"], "frac_coords": [[0.000, 0.000, 0.000], [0.000, 0.000, 0.517], [0.500, 0.500, 0.766], [0.500, 0.500, 0.333]]}



{"formula": "TaSi2Rh", "functional": "PBE-GGA", "state": "relaxed", "magnetic_moment_mub_per_fu": 0.0, "formation_energy_uncorrected_ev_per_atom": -0.025, "dos_at_fermi_per_ev_atom": 1.4142, "vol_a3_per_cell": 60, "lattice": [[0.000, 3.115, 3.115], [3.115, 0.000, 3.115], [3.115, 3.115, 0.000]], "species": ["Ta", "Si", "Si", "Rh"], "frac_coords": [[0.000, 0.000, 0.000], [0.500, 0.500, 0.500], [0.750, 0.750, 0.750], [0.250, 0.250, 0.250]]}



{"formula": "Ta2Si2Rh", "functional": "PBE-GGA", "state": "relaxed", "magnetic_moment_mub_per_fu": 0.0, "formation_energy_uncorrected_ev_per_atom": -0.608, "dos_at_fermi_per_ev_atom": 0.7632, "vol_a3_per_cell": 150, "lattice": [[6.292, 0.000, 0.000], [0.000, 6.292, 0.000], [0.000, 0.000, 3.800]], "species": ["Ta", "Ta", "Ta", "Ta", "Si", "Si", "Si", "Si", "Rh", "Rh"], "frac_coords": [[0.170, 0.330, 0.000], [0.330, 0.830, 0.000], [0.670, 0.170, 0.000], [0.830, 0.670, 0.000], [0.132, 0.632, 0.500], [0.368, 0.132, 0.500], [0.632, 0.868, 0.500], [0.868, 0.368, 0.500], [0.000, 0.000, 0.500], [0.500, 0.500, 0.500]]}



{"formula": "TaSiRh2", "functional": "PBE-GGA", "state": "relaxed", "magnetic_moment_mub_per_fu": 0.0, "formation_energy_uncorrected_ev_per_atom": -0.410, "dos_at_fermi_per_ev_atom": 1.0453, "vol_a3_per_cell": 59, "lattice": [[1.433, 0.828, 8.331], [-1.433, 0.828, 8.331], [0.000, -1.655, 8.331]], "species": ["Ta", "Si", "Rh", "Rh"], "frac_coords": [[0.000, 0.000, 0.000], [0.500, 0.500, 0.500], [0.242, 0.242, 0.242], [0.758, 0.758, 0.758]]}



What did the fifth record say?
{"formula": "TaSi2Rh", "functional": "PBE-GGA", "state": "relaxed", "magnetic_moment_mub_per_fu": 0.0, "formation_energy_uncorrected_ev_per_atom": -0.471, "dos_at_fermi_per_ev_atom": 0.3112, "vol_a3_per_cell": 58, "lattice": [[2.924, 0.000, 0.000], [0.000, 3.453, 0.000], [0.000, 0.000, 5.755]], "species": ["Ta", "Si", "Si", "Rh"], "frac_coords": [[0.000, 0.000, 0.000], [0.000, 0.000, 0.517], [0.500, 0.500, 0.766], [0.500, 0.500, 0.333]]}